# GGA+U ZrCu2WO, optimized geometry
# Energy (eV/atom): -5.629
data_ZrCu2WO
_symmetry_space_group_name_H-M 'P 4/m m m'
_symmetry_Int_Tables_number 123
_symmetry_space_group_name_Hall '-P 4 2'
_cell_length_a 4.2531
_cell_length_b 4.2531
_cell_length_c 4.0724
_cell_angle_alpha 90.00
_cell_angle_beta 90.00
_cell_angle_gamma 90.00
loop_
_atom_site_label
_atom_site_fract_x
_atom_site_fract_y
_atom_site_fract_z
_atom_site_occupancy
Zr1 0.0000 0.0000 0.0000 1
Cu1 0.0000 0.5000 0.5000 1
W1 0.5000 0.5000 0.0000 1
O1 0.5000 0.5000 0.5000 1